Compound: BeW3F
Source: Alexandria
Functional: PBE+U
Structure: optimized geometry Values from VASP.

Summary:
The density of states at the Fermi level comes out at 1.84 states/eV per cell. The magnetization comes out at 0.0000 μB per atom. The total energy is -3.987 eV per atom. The excess energy over the best structure of this formula in the dataset is 0.0000 eV/atom.

Quantum ESPRESSO input file:
```
&SYSTEM
  ibrav = 0, nat = 5, ntyp = 3
/
ATOMIC_SPECIES
Be 9.01 Be.upf
W 183.84 W.upf
F 19.00 F.upf
ATOMIC_POSITIONS crystal
Be 0.500 0.500 0.500
W 0.000 0.000 0.500
W 0.000 0.500 0.000
W 0.500 0.000 0.000
F 0.000 0.000 0.000
CELL_PARAMETERS angstrom
4.228 0.000 0.000
0.000 4.228 0.000
0.000 0.000 4.228
```